Record 1
Crystalline TbErBe2Ge2 at its relaxed geometry, computed with PBE.

Results
VASP energy = -0.1831 hartree per atom
density = 7.605 Mg/m³

Lattice parameters (Å, degrees): 3.9108 3.9108 8.0688 90.00 90.00 120.00
With the nearest neighbours (Å) after each atom.
Space group P-3m1 (No. 164)
Asymmetric unit:
Tb  0.0000  0.0000  0.0000 x1  6 Be 3.04, 6 Ge 3.04
Er  0.0000  0.0000  0.5000 x1  6 Ge 3.01, 6 Be 3.02
Be  0.3333  0.6667  0.2519 x2  3 Ge 2.26
Ge  0.3333  0.6667  0.7473 x2  3 Be 2.26

Record 2
Crystalline Cd2AsW at its relaxed geometry, computed with PBE.

Results
VASP energy = -0.1494 hartree per atom
density = 10.801 Mg/m³

Lattice parameters (Å, degrees): 6.6748 6.6748 6.6748 90.00 90.00 90.00
With the nearest neighbours (Å) after each atom.
Space group F-43m (No. 216)
Asymmetric unit:
Cd  0.0000  0.0000  0.0000 x4  4 Cd 2.89, 4 W 2.89
Cd  0.2500  0.2500  0.2500 x4  4 Cd 2.89, 4 As 2.89
As  0.0000  0.0000  0.5000 x4  4 Cd 2.89, 4 W 2.89
W  0.2500  0.2500  0.7500 x4  4 Cd 2.89, 4 As 2.89

Record 3
Crystalline NdYCu2Ge2 at its relaxed geometry, computed with PBE.

Results
VASP energy = -0.1960 hartree per atom
density = 6.953 Mg/m³

Lattice parameters (Å, degrees): 4.2574 4.2574 7.6908 90.00 90.00 120.00
With the nearest neighbours (Å) after each atom.
Space group P-3m1 (No. 164)
Asymmetric unit:
Nd  0.0000  0.0000  0.0000 x1  6 Ge 3.16, 6 Cu 3.18
Y  0.0000  0.0000  0.5000 x1  6 Cu 3.06, 6 Ge 3.08
Cu  0.3333  0.6667  0.2620 x2  3 Ge 2.46
Ge  0.3333  0.6667  0.7411 x2  3 Cu 2.46

Record 4
Crystalline AgTePtO at its relaxed geometry, computed with PBE.

Results
VASP energy = -0.1617 hartree per atom
density = 10.080 Mg/m³
distance to the lowest polymorph of the same formula = 50.6 meV per atom

Lattice parameters (Å, degrees): 5.3555 7.1045 7.7337 90.00 90.00 90.00
With the nearest neighbours (Å) after each atom.
Space group P2_12_12_1 (No. 19)
Asymmetric unit:
Ag  0.2023  0.1165  0.0223 x4  2 O 2.40-2.51
Te  0.1936  0.4365  0.2203 x4  1 O 2.04
Pt  0.1044  0.2747  0.5117 x4  1 O 2.12
O  0.0651  0.0936  0.7279 x4  1 Te 2.04, 1 Pt 2.12

Record 5
Crystalline HfScFeAs at its relaxed geometry, computed with PBE.

Results
VASP energy = -0.2688 hartree per atom
density = 9.022 Mg/m³
distance to the lowest polymorph of the same formula = 0.0 meV per atom

Lattice parameters (Å, degrees): 6.3890 6.3890 6.3890 90.00 90.00 90.00
With the nearest neighbours (Å) after each atom.
Space group F-43m (No. 216)
Asymmetric unit:
Hf  0.0000  0.0000  0.0000 x4  4 Fe 2.77, 4 Sc 2.77
Sc  0.2500  0.2500  0.2500 x4  4 Hf 2.77, 4 As 2.77
Fe  0.2500  0.2500  0.7500 x4  4 Hf 2.77, 4 As 2.77
As  0.0000  0.0000  0.5000 x4  4 Fe 2.77, 4 Sc 2.77

Record 6
Crystalline BaTaPd at its relaxed geometry, computed with PBE.

Results
VASP energy = -0.1681 hartree per atom
density = 8.890 Mg/m³
distance to the lowest polymorph of the same formula = 753.7 meV per atom

Lattice parameters (Å, degrees): 6.8206 6.8206 6.8206 90.00 90.00 90.00
With the nearest neighbours (Å) after each atom.
Space group F-43m (No. 216)
Asymmetric unit:
Ba  0.0000  0.0000  0.0000 x4  4 Ta 2.95, 4 Pd 2.95
Ta  0.2500  0.2500  0.2500 x4  4 Ba 2.95
Pd  0.2500  0.2500  0.7500 x4  4 Ba 2.95

Record 7
Crystalline TbMgAgS3 at its relaxed geometry, computed with PBE.

Results
VASP energy = -0.1745 hartree per atom
density = 5.119 Mg/m³
distance to the lowest polymorph of the same formula = 0.0 meV per atom

Lattice parameters (Å, degrees): 7.3988 3.8323 9.0527 90.00 101.80 90.00
With the nearest neighbours (Å) after each atom.
Space group P2_1/m (No. 11)
Asymmetric unit:
Tb  0.1917  0.2500  0.1660 x2  6 S 2.73-2.89
Mg  0.2527  0.7500  0.7132 x2  6 S 2.72-2.93, 1 Ag 2.95
Ag  0.3822  0.7500  0.4254 x2  3 S 2.50-2.52, 2 Ag 2.75
S  0.0877  0.2500  0.8523 x2  2 Mg 2.72, 3 Tb 2.79-2.80
S  0.1889  0.2500  0.4852 x2  2 Ag 2.52, 2 Mg 2.79
S  0.4542  0.7500  0.1674 x2  1 Ag 2.50, 2 Tb 2.73

Record 8
Crystalline Np2BrCl5 at its relaxed geometry, computed with PBE.

Results
VASP energy = -0.2293 hartree per atom
density = 5.820 Mg/m³

Lattice parameters (Å, degrees): 7.3932 4.2945 7.5110 90.00 118.98 90.00
With the nearest neighbours (Å) after each atom.
Space group Pm (No. 6)
Asymmetric unit:
Np  0.0000  0.0000  0.0000 x1  7 Cl 2.88-2.99, 2 Br 3.03
Np  0.3368  0.5000  0.6718 x1  8 Cl 2.88-2.96, 1 Br 3.06
Br  0.9473  0.5000  0.2553 x1  3 Np 3.03-3.06
Cl  0.0636  0.0000  0.6507 x1  3 Np 2.88-2.90
Cl  0.2754  0.5000  0.0336 x1  3 Np 2.89-2.96
Cl  0.3596  0.0000  0.4219 x1  3 Np 2.91-2.99
Cl  0.5752  0.0000  0.9368 x1  3 Np 2.88-2.94
Cl  0.7552  0.5000  0.7276 x1  3 Np 2.91

Record 9
Crystalline La2As3Pd6 at its relaxed geometry, computed with PBE.

Results
VASP energy = -0.2148 hartree per atom
density = 8.827 Mg/m³

Lattice parameters (Å, degrees): 7.5293 7.5293 4.3724 90.00 90.00 120.00
With the nearest neighbours (Å) after each atom.
Space group P-62m (No. 189)
Asymmetric unit:
La  0.3333  0.6667  0.0000 x2  9 Pd 3.09-3.43, 6 As 3.24
As  0.0000  0.6325  0.5000 x3  5 Pd 2.49-2.55
Pd  0.0000  0.3006  0.5000 x3  3 As 2.50-2.55
Pd  0.0000  0.7912  0.0000 x3  2 As 2.49, 2 Pd 2.72

Record 10
Crystalline GdZrCd at its relaxed geometry, computed with PBE.

Results
energy of formation = 0.1 eV/f.u.
VASP energy = -0.1712 hartree per atom
density = 7.973 Mg/m³

Lattice parameters (Å, degrees): 5.1085 5.1085 9.9775 90.00 90.00 120.00
With the nearest neighbours (Å) after each atom.
Space group P3m1 (No. 156)
Asymmetric unit:
Gd  0.0000  0.0000  0.0000 x1  2 Gd 3.30-3.31, 6 Cd 3.36-3.37, 6 Zr 3.40-3.41
Gd  0.0000  0.0000  0.3308 x1  2 Gd 3.30-3.37, 6 Zr 3.35-3.39, 6 Cd 3.40
Gd  0.0000  0.0000  0.6685 x1  2 Gd 3.31-3.37, 6 Zr 3.36-3.40, 6 Cd 3.40
Zr  0.3333  0.6667  0.1716 x1  4 Cd 2.95-3.28
Zr  0.3333  0.6667  0.8297 x1  4 Cd 2.95-3.29
Zr  0.6667  0.3333  0.4989 x1  3 Cd 2.95
Cd  0.3333  0.6667  0.4999 x1  5 Zr 2.95-3.29
Cd  0.6667  0.3333  0.1617 x1  3 Zr 2.95, 1 Cd 3.24
Cd  0.6667  0.3333  0.8373 x1  3 Zr 2.95, 1 Cd 3.24

Record 11
Crystalline Y2Ta4Ga3N3 at its relaxed geometry, computed with PBE.

Results
VASP energy = -0.3204 hartree per atom
density = 10.457 Mg/m³

Lattice parameters (Å, degrees): 9.6210 5.5642 14.0700 90.00 103.56 90.00
With the nearest neighbours (Å) after each atom.
Space group C2/c (No. 15)
Asymmetric unit:
Y  0.0409  0.0812  0.3843 x8  3 N 2.42-2.46
Ta  0.1110  0.4102  0.5807 x8  3 N 2.14-2.19
Ta  0.2256  0.4205  0.9193 x8  3 N 2.14-2.19
Ga  0.0000  0.4325  0.7500 x4  4 Ga 2.78-2.79, 4 Ta 2.82-2.83
Ga  0.2414  0.1551  0.7513 x8  4 Ga 2.78-2.79, 4 Ta 2.81-2.82
N  0.0834  0.2493  0.0000 x8  4 Ta 2.14-2.19
N  0.2500  0.2500  0.5000 x4  4 Ta 2.14

Record 12
Crystalline InNiBr3 at its relaxed geometry, computed with PBE.

Results
VASP energy = -0.1142 hartree per atom
density = 5.079 Mg/m³

Lattice parameters (Å, degrees): 9.2964 3.8303 15.1758 90.00 90.00 90.00
With the nearest neighbours (Å) after each atom.
Space group Pnma (No. 62)
Asymmetric unit:
In  0.0492  0.2500  0.1735 x4  8 Br 3.24-3.55
Ni  0.1533  0.7500  0.4488 x4  6 Br 2.52-2.59
Br  0.0186  0.7500  0.5965 x4  3 Ni 2.57-2.59
Br  0.1848  0.7500  0.0026 x4  2 Ni 2.57
Br  0.2289  0.2500  0.7993 x4  1 Ni 2.52